## CoRh3 (GGA-PBEsol)

Data for a relaxed CoRh3 crystal.

M_tot = 3.8 Bohr magnetons per cell
DFT formation energy = 52.7 meV/atom

Unit cell a=8.677 b=2.639 c=4.536 alpha=90.00 beta=100.52 gamma=90.00
Space group C2/m (No. 12)
Symmetry-distinct sites (fractional):
Co: 0.000 0.000 0.000 x2
Rh: 0.000 0.500 0.500 x2
Rh: 0.247 0.500 0.245 x4


## CoRh3 (GGA-PBEsol)

Data for a relaxed CoRh3 crystal.

M_tot = 2.7 Bohr magnetons per cell
DFT formation energy = 65.4 meV/atom

Unit cell a=3.715 b=3.715 c=3.715 alpha=90.00 beta=90.00 gamma=90.00
Space group Pm-3m (No. 221)
Symmetry-distinct sites (fractional):
Co: 0.000 0.000 0.000 x1
Rh: 0.000 0.500 0.500 x3


## Co4Rh (GGA-PBEsol)

Data for a relaxed Co4Rh crystal.

M_tot = 14.4 Bohr magnetons per cell
DFT formation energy = 66.3 meV/atom

Unit cell a=8.309 b=2.541 c=6.129 alpha=90.00 beta=120.48 gamma=90.00
Space group C2/m (No. 12)
Symmetry-distinct sites (fractional):
Co: 0.104 0.000 0.411 x4
Co: 0.194 0.500 0.791 x4
Rh: 0.000 0.500 0.000 x2


## Co2Rh3 (GGA-PBEsol)

Data for a relaxed Co2Rh3 crystal.

M_tot = 6.8 Bohr magnetons per cell
DFT formation energy = 70.2 meV/atom

Unit cell a=2.621 b=2.621 c=17.872 alpha=90.00 beta=90.00 gamma=90.00
Space group I4/mmm (No. 139)
Symmetry-distinct sites (fractional):
Co: 0.000 0.000 0.099 x4
Rh: 0.000 0.000 0.304 x4
Rh: 0.000 0.000 0.500 x2


## Co2Rh (GGA-PBEsol)

Data for a relaxed Co2Rh crystal.

M_tot = 17.9 Bohr magnetons per cell
DFT formation energy = 162.5 meV/atom

Unit cell a=8.554 b=4.046 c=4.994 alpha=90.00 beta=125.17 gamma=90.00
Space group C2/m (No. 12)
Symmetry-distinct sites (fractional):
Co: 0.027 0.000 0.267 x4
Co: 0.147 0.500 0.545 x4
Rh: 0.177 0.500 0.079 x4


## CoRuRh2 (GGA-PBEsol)

Data for a relaxed CoRuRh2 crystal.

M_tot = 2.6 Bohr magnetons per cell
DFT formation energy = 80.7 meV/atom

Unit cell a=8.684 b=2.625 c=4.513 alpha=90.00 beta=100.23 gamma=90.00
Space group C2/m (No. 12)
Symmetry-distinct sites (fractional):
Co: 0.000 0.000 0.000 x2
Ru: 0.000 0.500 0.500 x2
Rh: 0.248 0.500 0.247 x4


## CoRuRh2 (GGA-PBEsol)

Data for a relaxed CoRuRh2 crystal.

M_tot = 1.2 Bohr magnetons per cell
DFT formation energy = 80.8 meV/atom

Unit cell a=2.631 b=3.667 c=5.244 alpha=90.00 beta=90.00 gamma=90.00
Space group Pmm2 (No. 25)
Symmetry-distinct sites (fractional):
Co: 0.000 0.000 0.000 x1
Ru: 0.500 0.500 0.762 x1
Rh: 0.000 0.000 0.510 x1
Rh: 0.500 0.500 0.242 x1


## CoRuRh2 (GGA-PBEsol)

Data for a relaxed CoRuRh2 crystal.

M_tot = 2.9 Bohr magnetons per cell
DFT formation energy = 363.1 meV/atom

Unit cell a=4.439 b=4.439 c=2.666 alpha=90.00 beta=90.00 gamma=90.00
Space group P4/mmm (No. 123)
Symmetry-distinct sites (fractional):
Co: 0.000 0.000 0.000 x1
Ru: 0.500 0.500 0.000 x1
Rh: 0.000 0.500 0.500 x2


## CoRuRh2 (GGA-PBEsol)

Data for a relaxed CoRuRh2 crystal.

M_tot = 2.6 Bohr magnetons per cell
DFT formation energy = 71.0 meV/atom

Unit cell a=3.684 b=3.684 c=7.443 alpha=90.00 beta=90.00 gamma=90.00
Space group I4/mmm (No. 139)
Symmetry-distinct sites (fractional):
Co: 0.000 0.000 0.000 x2
Ru: 0.000 0.000 0.500 x2
Rh: 0.000 0.500 0.250 x4


## CoRu2Rh (GGA-PBEsol)

Data for a relaxed CoRu2Rh crystal.

M_tot = 6.4 Bohr magnetons per cell
DFT formation energy = 459.5 meV/atom

Unit cell a=5.156 b=8.817 c=2.602 alpha=90.00 beta=117.67 gamma=90.00
Space group C2/m (No. 12)
Symmetry-distinct sites (fractional):
Co: 0.000 0.000 0.000 x2
Ru: 0.250 0.250 0.500 x4
Rh: 0.000 0.500 0.000 x2


## CoRu2Rh (GGA-PBEsol)

Data for a relaxed CoRu2Rh crystal.

M_tot = 0.1 Bohr magnetons per cell
DFT formation energy = 119.1 meV/atom

Unit cell a=3.688 b=3.688 c=7.377 alpha=90.00 beta=90.00 gamma=90.00
Space group I-4m2 (No. 119)
Symmetry-distinct sites (fractional):
Co: 0.000 0.000 0.000 x2
Ru: 0.000 0.000 0.500 x2
Ru: 0.000 0.500 0.750 x2
Rh: 0.000 0.500 0.250 x2


## Co2RuRh (GGA-PBEsol)

Data for a relaxed Co2RuRh crystal.

M_tot = 8.2 Bohr magnetons per cell
DFT formation energy = 143.9 meV/atom

Unit cell a=2.5887 b=2.5887 c=24.7369 alpha=90.00 beta=90.00 gamma=120.00
Space group R-3m (No. 166, hexagonal axes)
Symmetry-distinct sites (fractional):
Co: 0.0000 0.0000 0.2493 x6
Ru: 0.0000 0.0000 0.5000 x3
Rh: 0.0000 0.0000 0.0000 x3